The following is a PBE calculation of an optimized crystal structure of Ac2Y3Hg4, from Alexandria.

Values from the calculation:
**Space group**: Cmce
**M_tot**: 0.0 μB/f.u.
**Raw total energy**: -3.573 eV per atom

Cell lengths 9.728, 9.728, 8.471 Å; angles 90.00, 90.00, 136.36 degrees
Fractional coordinates of all 18 atoms:
1 Ac 0.099 0.901 0.910
2 Ac 0.401 0.599 0.410
3 Ac 0.599 0.401 0.590
4 Ac 0.901 0.099 0.090
5 Y 0.000 0.000 0.500
6 Y 0.016 0.484 0.750
7 Y 0.484 0.016 0.250
8 Y 0.500 0.500 0.000
9 Y 0.516 0.984 0.750
10 Y 0.984 0.516 0.250
11 Hg 0.173 0.827 0.528
12 Hg 0.188 0.312 0.750
13 Hg 0.312 0.188 0.250
14 Hg 0.327 0.673 0.028
15 Hg 0.673 0.327 0.972
16 Hg 0.688 0.812 0.750
17 Hg 0.812 0.688 0.250
18 Hg 0.827 0.173 0.472